5
Lattice="4.450 0.000 0.000 0.000 4.450 0.000 0.000 0.000 3.500" Properties=species:S:1:pos:R:3 comment="Ta2HOsW PBE optimized geometry" de_polymorph_mev_per_atom=57.1 total_energy_ev_per_atom=-10.26 volume_a3_per_cell=69.3 pbc="T T T"
Ta 0.000 2.225 0.000
Ta 2.225 0.000 0.000
H 0.000 0.000 0.000
Os 2.225 2.225 1.750
W 0.000 0.000 1.750